<a>
Below is a geometry-optimized SrHfC2 structure, with properties calculated at the PBE-GGA level.

Magnetic moment   0.000 μB per atom
Space group   I-42d (122)

a = 5.5065 Å, b = 5.5065 Å, c = 6.7825 Å
α = 66.05°, β = 66.05°, γ = 90.00°
Element x y z (fractional)
Sr 0.5000 0.5000 0.0000
Sr 0.2500 0.7500 0.5000
C 0.7127 0.1250 0.2500
C 0.0373 0.6250 0.2500
C 0.3750 0.2873 0.7500
C 0.8750 0.9627 0.7500
Hf 0.0000 0.0000 0.0000
Hf 0.7500 0.2500 0.5000

<b>
Below is a geometry-optimized SrHfC2 structure, with properties calculated at the PBE-GGA level.

Magnetic moment   0.000 μB per atom
Space group   Fm-3m (225)

a = 4.3546 Å, b = 4.3546 Å, c = 4.3546 Å
α = 60.00°, β = 60.00°, γ = 60.00°
Element x y z (fractional)
Sr 0.0000 0.0000 0.0000
C 0.2500 0.2500 0.2500
C 0.7500 0.7500 0.7500
Hf 0.5000 0.5000 0.5000

Quick look at relative energies in meV/atom: <a> 0; <b> 638.

<a>
Below is a geometry-optimized Hf3TaC structure, with properties calculated at the PBE-GGA level.

Magnetic moment   0.000 μB per atom
Space group   Pm-3m (221)

a = 4.5041 Å, b = 4.5041 Å, c = 4.5041 Å
α = 90.00°, β = 90.00°, γ = 90.00°
Element x y z (fractional)
C 0.0000 0.0000 0.0000
Hf 0.0000 0.5000 0.0000
Hf 0.0000 0.0000 0.5000
Hf 0.5000 0.0000 0.0000
Ta 0.5000 0.5000 0.5000

<b>
Below is a geometry-optimized Hf3TaC structure, with properties calculated at the PBE-GGA level.

Magnetic moment   0.000 μB per atom
Space group   Pm-3m (221)

a = 5.0533 Å, b = 5.0533 Å, c = 5.0533 Å
α = 90.00°, β = 90.00°, γ = 90.00°
Element x y z (fractional)
C 0.5000 0.5000 0.5000
Hf 0.0000 0.5000 0.0000
Hf 0.0000 0.0000 0.5000
Hf 0.5000 0.0000 0.0000
Ta 0.0000 0.0000 0.0000

Quick look at relative energies in meV/atom: <a> 0; <b> 2561.

<a>
Below is a geometry-optimized HfTaC3 structure, with properties calculated at the PBE-GGA level.

Magnetic moment   0.000 μB per atom
Space group   Pm-3m (221)

a = 4.0956 Å, b = 4.0956 Å, c = 4.0956 Å
α = 90.00°, β = 90.00°, γ = 90.00°
Element x y z (fractional)
C 0.0000 0.5000 0.0000
C 0.0000 0.0000 0.5000
C 0.5000 0.0000 0.0000
Hf 0.0000 0.0000 0.0000
Ta 0.5000 0.5000 0.5000

<b>
Below is a geometry-optimized HfTaC3 structure, with properties calculated at the PBE-GGA level.

Magnetic moment   0.000 μB per atom
Space group   Pm-3m (221)

a = 4.0798 Å, b = 4.0798 Å, c = 4.0798 Å
α = 90.00°, β = 90.00°, γ = 90.00°
Element x y z (fractional)
C 0.0000 0.5000 0.0000
C 0.0000 0.0000 0.5000
C 0.5000 0.0000 0.0000
Hf 0.5000 0.5000 0.5000
Ta 0.0000 0.0000 0.0000

Quick look at relative energies in meV/atom: <a> 762; <b> 0.

<a>
Below is a geometry-optimized HfTcC3 structure, with properties calculated at the PBE-GGA level.

Magnetic moment   0.000 μB per atom
Space group   Pm-3m (221)

a = 3.9302 Å, b = 3.9302 Å, c = 3.9302 Å
α = 90.00°, β = 90.00°, γ = 90.00°
Element x y z (fractional)
C 0.0000 0.5000 0.0000
C 0.0000 0.0000 0.5000
C 0.5000 0.0000 0.0000
Hf 0.5000 0.5000 0.5000
Tc 0.0000 0.0000 0.0000

<b>
Below is a geometry-optimized HfTcC3 structure, with properties calculated at the PBE-GGA level.

Magnetic moment   0.000 μB per atom
Space group   Pm-3m (221)

a = 4.1305 Å, b = 4.1305 Å, c = 4.1305 Å
α = 90.00°, β = 90.00°, γ = 90.00°
Element x y z (fractional)
C 0.0000 0.5000 0.0000
C 0.0000 0.0000 0.5000
C 0.5000 0.0000 0.0000
Hf 0.0000 0.0000 0.0000
Tc 0.5000 0.5000 0.5000

Quick look at relative energies in meV/atom: <a> 0; <b> 1212.

<a>
Below is a geometry-optimized HfTc3C structure, with properties calculated at the PBE-GGA level.

Magnetic moment   0.000 μB per atom
Space group   Pm-3m (221)

a = 4.1394 Å, b = 4.1394 Å, c = 4.1394 Å
α = 90.00°, β = 90.00°, γ = 90.00°
Element x y z (fractional)
C 0.0000 0.0000 0.0000
Hf 0.5000 0.5000 0.5000
Tc 0.0000 0.5000 0.0000
Tc 0.0000 0.0000 0.5000
Tc 0.5000 0.0000 0.0000

<b>
Below is a geometry-optimized HfTc3C structure, with properties calculated at the PBE-GGA level.

Magnetic moment   0.555 μB per atom
Space group   Pm-3m (221)

a = 4.7494 Å, b = 4.7494 Å, c = 4.7494 Å
α = 90.00°, β = 90.00°, γ = 90.00°
Each line ends with the local moment (μB).
Element x y z (fractional)
C 0.5000 0.5000 0.5000  -0.34
Hf 0.0000 0.0000 0.0000  -0.11
Tc 0.0000 0.5000 0.0000  1.05
Tc 0.0000 0.0000 0.5000  0.99
Tc 0.5000 0.0000 0.0000  1.19

Quick look at relative energies in meV/atom: <a> 0; <b> 3415.

<a>
Below is a geometry-optimized Hf3TeC structure, with properties calculated at the PBE-GGA level.

Magnetic moment   0.000 μB per atom
Space group   Cmcm (63)

a = 3.4781 Å, b = 6.2235 Å, c = 8.8124 Å
α = 90.00°, β = 90.00°, γ = 73.78°
Element x y z (fractional)
Hf 0.6215 0.7569 0.6972
Hf 0.3785 0.2431 0.1972
Hf 0.6215 0.7569 0.3028
Hf 0.3785 0.2431 0.8028
Hf 0.0452 0.9103 0.0000
Hf 0.9548 0.0897 0.5000
Te 0.7400 0.5204 0.0000
Te 0.2600 0.4796 0.5000
C 0.0000 0.0000 0.7500
C 0.0000 0.0000 0.2500

<b>
Below is a geometry-optimized Hf3TeC structure, with properties calculated at the PBE-GGA level.

Magnetic moment   0.000 μB per atom
Space group   Pm-3m (221)

a = 4.5458 Å, b = 4.5458 Å, c = 4.5458 Å
α = 90.00°, β = 90.00°, γ = 90.00°
Element x y z (fractional)
C 0.0000 0.0000 0.0000
Te 0.5000 0.5000 0.5000
Hf 0.0000 0.5000 0.0000
Hf 0.0000 0.0000 0.5000
Hf 0.5000 0.0000 0.0000

Quick look at relative energies in meV/atom: <a> 0; <b> 473.

<a>
Below is a geometry-optimized Hf2TiC3 structure, with properties calculated at the PBE-GGA level.

Magnetic moment   0.000 μB per atom
Space group   Cmc2_1 (36)

a = 4.5541 Å, b = 6.5523 Å, c = 6.5523 Å
α = 120.64°, β = 90.00°, γ = 90.00°
Element x y z (fractional)
Hf 0.4964 0.8347 0.5078
Hf 0.9964 0.4922 0.1653
Hf 0.4964 0.5078 0.8347
Hf 0.9964 0.1653 0.4922
Ti 0.9985 0.8385 0.8385
Ti 0.4985 0.1615 0.1615
C 0.9909 0.8342 0.5121
C 0.4909 0.4879 0.1658
C 0.9909 0.5121 0.8342
C 0.4909 0.1658 0.4879
C 0.4850 0.8456 0.8456
C 0.9850 0.1544 0.1544

<b>
Below is a geometry-optimized Hf2TiC3 structure, with properties calculated at the PBE-GGA level.

Magnetic moment   0.000 μB per atom
Space group   Pnma (62)

a = 4.5632 Å, b = 6.4394 Å, c = 9.6834 Å
α = 90.00°, β = 90.00°, γ = 90.00°
Element x y z (fractional)
Hf 0.2501 0.8752 0.7498
Hf 0.2501 0.3752 0.7502
Hf 0.2500 0.8725 0.4166
Hf 0.2500 0.3725 0.0834
Hf 0.7500 0.6275 0.9166
Hf 0.7500 0.1275 0.5834
Hf 0.7499 0.6248 0.2498
Hf 0.7499 0.1248 0.2502
Ti 0.2500 0.8778 0.0820
Ti 0.2500 0.3778 0.4180
Ti 0.7500 0.6222 0.5820
Ti 0.7500 0.1222 0.9180
C 0.2500 0.6192 0.5803
C 0.2500 0.1192 0.9197
C 0.2500 0.6298 0.9192
C 0.2500 0.1298 0.5808
C 0.2499 0.6237 0.2502
C 0.2499 0.1237 0.2498
C 0.7501 0.8763 0.7502
C 0.7501 0.3763 0.7498
C 0.7500 0.8702 0.4192
C 0.7500 0.3702 0.0808
C 0.7500 0.8808 0.0803
C 0.7500 0.3808 0.4197

Quick look at relative energies in meV/atom: <a> 244; <b> 0.

<a>
Below is a geometry-optimized HfZrTi2C structure, with properties calculated at the PBE-GGA level.

Magnetic moment   0.000 μB per atom
Space group   P4/mmm (123)

a = 4.2813 Å, b = 4.2813 Å, c = 4.6300 Å
α = 90.00°, β = 90.00°, γ = 90.00°
Element x y z (fractional)
C 0.0000 0.0000 0.0000
Hf 0.0000 0.0000 0.5000
Zr 0.5000 0.5000 0.5000
Ti 0.0000 0.5000 0.0000
Ti 0.5000 0.0000 0.0000

<b>
Below is a geometry-optimized HfZrTi2C structure, with properties calculated at the PBE-GGA level.

Magnetic moment   0.000 μB per atom
Space group   P4/mmm (123)

a = 4.2584 Å, b = 4.2584 Å, c = 4.6981 Å
α = 90.00°, β = 90.00°, γ = 90.00°
Element x y z (fractional)
C 0.0000 0.0000 0.0000
Hf 0.5000 0.5000 0.5000
Zr 0.0000 0.0000 0.5000
Ti 0.0000 0.5000 0.0000
Ti 0.5000 0.0000 0.0000

Quick look at relative energies in meV/atom: <a> 0; <b> 10.